Below is an optimized crystal structure of ZnAsPtO6, with properties calculated at the PBE level.

The structure in extended XYZ format:
```
18
Lattice="-3.7780 2.9486 1.6405 -0.6344 -2.8678 -4.1269 -2.9903 -6.6633 5.0899" Properties=species:S:1:pos:R:3 pbc="T T T"
O -5.6152 -6.7123 1.4015
O -1.7875 0.1298 1.2019
O -4.3274 1.0116 0.8640
O -2.1959 -5.2126 1.7529
O -3.8239 -6.0181 -0.2580
O -3.0753 -7.5941 1.7393
O -4.7122 -4.2243 1.5684
O -5.2068 -1.3698 0.8505
O -3.5788 -0.5644 2.8614
O -4.1276 -5.7972 3.4734
O -2.6905 -2.3582 1.0349
O -3.2751 -0.7852 -0.8700
Zn -1.4952 -3.3316 2.5449
Zn 0.0000 0.0000 0.0000
As -3.9250 -5.9264 1.6129
As -3.4777 -0.6560 0.9905
Pt -4.9729 -3.9876 3.5354
Pt -2.4298 -2.5948 -0.9320
```

Magnetic moment, μB/cell: 0.4
Raw formation energy, eV per formula unit: -8.12

=====

Below is an optimized crystal structure of PuAs2O8, with properties calculated at the PBE level.

The structure in extended XYZ format:
```
11
Lattice="5.1706 0.1881 0.4853 0.4930 6.2083 1.4918 0.2276 1.0753 6.3090" Properties=species:S:1:pos:R:3 pbc="T T T"
O 4.2683 4.8331 5.3851
O 1.3558 2.8468 6.4096
O 4.5353 4.6249 1.8765
O 1.5259 6.1369 3.3218
O 2.3301 6.2978 6.8390
O 1.6228 2.6386 2.9010
O 4.3652 1.3347 4.9642
O 3.5610 1.1739 1.4471
As 4.0197 5.9492 6.5607
As 1.8714 1.5225 1.7254
Pu 0.0000 0.0000 0.0000
```

Magnetic moment, μB/cell: 2.0
Raw formation energy, eV per formula unit: -15.06

=====

Below is an optimized crystal structure of Pu2AsO2, with properties calculated at the PBE level.

The structure in extended XYZ format:
```
10
Lattice="-1.7700 3.5793 4.6157 -0.8152 -5.6890 2.0540 5.9795 1.0372 -1.5238" Properties=species:S:1:pos:R:3 pbc="T T T"
As 0.9679 -1.4267 0.9663
As 2.4264 0.3541 4.1797
Pu -0.5168 -0.6164 4.8167
Pu 0.6827 1.3422 1.7316
Pu 3.9111 -0.4563 0.3293
Pu 2.7117 -2.4148 3.4144
O 4.4206 -1.4397 2.3004
O -1.0262 0.3671 2.8455
O 1.6695 -4.2754 2.4219
O 1.7248 3.2028 2.7241
```

Magnetic moment, μB/cell: 18.0
Raw formation energy, eV per formula unit: -11.57

=====

Below is an optimized crystal structure of Pu3As3O, with properties calculated at the PBE level.

The structure in extended XYZ format:
```
28
Lattice="4.1510 0.0000 0.0000 0.0000 11.2736 0.0000 0.0000 0.0000 13.0104" Properties=species:S:1:pos:R:3 pbc="T T T"
As 3.1133 10.6329 7.9257
As 3.1133 2.9951 9.7545
As 3.1133 4.9961 11.5900
As 1.0378 9.6344 12.6555
As 1.0378 3.9976 6.8602
As 1.0378 6.2775 1.4205
As 3.1133 8.6319 9.7611
As 3.1133 7.2759 6.1503
As 3.1133 1.6392 0.3550
As 1.0378 2.6416 3.2493
As 1.0378 8.2784 3.2559
As 1.0378 0.6407 5.0848
Pu 1.0378 0.1296 1.9345
Pu 3.1133 5.5072 8.4397
Pu 1.0378 7.0815 11.1565
Pu 1.0378 1.4447 8.3591
Pu 3.1133 4.1921 1.8539
Pu 1.0378 2.8291 11.7469
Pu 1.0378 8.4659 7.7687
Pu 3.1133 2.8077 5.2417
Pu 3.1133 8.4445 1.2635
Pu 1.0378 5.7664 4.5707
Pu 3.1133 11.1440 11.0759
Pu 3.1133 9.8289 4.6513
O 3.1133 10.4481 2.4494
O 3.1133 4.8113 4.0558
O 1.0378 0.8255 10.5610
O 1.0378 6.4623 8.9546
```

Energy above the lowest structure with this stoichiometry, meV/atom: 0
Magnetic moment, μB/cell: 58.9
Raw formation energy, eV per formula unit: -9.63

=====

Below is an optimized crystal structure of PuAsO, with properties calculated at the PBE level.

The structure in extended XYZ format:
```
6
Lattice="3.6065 0.0000 0.0000 0.0000 3.6065 0.0000 0.0000 0.0000 7.7497" Properties=species:S:1:pos:R:3 pbc="T T T"
Pu 0.0000 1.8032 5.2409
Pu 1.8032 0.0000 2.5088
As 0.0000 0.0000 0.0000
As 1.8032 1.8032 0.0000
O 0.0000 1.8032 2.9822
O 1.8032 0.0000 4.7674
```

Energy above the lowest structure with this stoichiometry, meV/atom: 202
Magnetic moment, μB/cell: 9.8
Raw formation energy, eV per formula unit: -5.39

=====

Below is an optimized crystal structure of Pu8As5O, with properties calculated at the PBE level.

The structure in extended XYZ format:
```
14
Lattice="7.4227 -0.0467 0.0804 -2.5555 6.9690 -0.0804 -2.3116 -3.5469 6.0976" Properties=species:S:1:pos:R:3 pbc="T T T"
As 2.3708 0.8344 0.0395
As 6.2000 2.0331 0.7861
As 3.7360 5.2163 1.4590
As 2.5555 -1.7968 3.0890
As 2.5385 2.1672 3.8934
Pu -2.2476 3.4102 3.0857
Pu -1.9846 -1.5335 4.3686
Pu 0.0775 2.8744 5.2266
Pu 1.5171 3.3293 1.4388
Pu -3.0831 1.4303 6.0123
Pu 1.6579 -0.3895 5.4076
Pu 0.3670 0.4794 2.6049
Pu 4.1836 0.4008 2.2630
O -1.1558 0.8127 4.5531
```

Magnetic moment, μB/cell: 0.2
Raw formation energy, eV per formula unit: -13.30

=====

Below is an optimized crystal structure of PuAsO, with properties calculated at the PBE level.

The structure in extended XYZ format:
```
6
Lattice="-3.4022 2.0480 -0.2890 -1.0288 -1.1931 3.6566 5.3907 5.2341 1.0568" Properties=species:S:1:pos:R:3 pbc="T T T"
Pu 2.1218 3.7831 1.8313
Pu -1.1619 2.3059 2.5931
As -1.7011 1.0240 -0.1445
As -0.5144 -0.5965 1.8283
O -0.1134 3.8548 1.2258
O 1.0733 2.2343 3.1986
```

Energy above the lowest structure with this stoichiometry, meV/atom: 0
Magnetic moment, μB/cell: 9.5
Raw formation energy, eV per formula unit: -5.99

=====

Below is an optimized crystal structure of PuAsO2, with properties calculated at the PBE level.

The structure in extended XYZ format:
```
4
Lattice="-0.4553 0.2430 4.0570 -3.4542 -1.3127 1.7523 0.6397 -4.8209 2.4219" Properties=species:S:1:pos:R:3 pbc="T T T"
O -3.1108 -2.9050 6.0088
O -0.1591 -2.9856 2.2223
As -1.6349 -2.9453 4.1156
Pu 0.0000 0.0000 0.0000
```

Magnetic moment, μB/cell: 4.9
Raw formation energy, eV per formula unit: -3.93